## ZnSnAs2N (GGA-PBE)

Data for ZnSnAs2N after structural relaxation.

Computed properties:
space-group type	P4/mmm, No. 123
uncorrected formation energy	851	meV per atom

```
ZnSnAs2N
1.0
-2.118 2.132 -4.310
-0.093 -3.234 -1.554
-4.806 -0.805 1.964
N Sn As Zn
1 1 2 1
Cartesian
-0.047 -1.617 -0.777
-3.509 -0.954 -1.950
-2.403 -0.403 0.982
-1.059 1.066 -2.155
0.000 0.000 0.000
```

---

## TcSbW (GGA-PBE)

Data for TcSbW after structural relaxation.

Computed properties:
space-group type	Imm2, No. 44
polymorph energy (0 for the lowest one)	248	meV/atom
uncorrected formation energy	438	meV per atom

```
TcSbW
1.0
4.797 0.005 -0.003
1.993 4.363 0.003
-2.962 -2.857 2.464
W Tc Sb
1 1 1
Cartesian
4.512 2.903 0.000
2.277 1.465 0.000
0.001 0.001 0.000
```

---

## CdI4N2 (GGA-PBE)

Data for CdI4N2 after structural relaxation.

Computed properties:
space-group type	P-1, No. 2
uncorrected formation energy	758	meV per atom

```
CdI4N2
1.0
4.196 0.008 -0.700
0.232 8.064 1.430
-0.939 2.188 7.309
I Cd N
4 1 2
Cartesian
2.333 1.496 1.064
3.004 5.034 5.110
1.155 8.764 6.975
0.484 5.226 2.929
0.000 0.000 0.000
2.678 5.540 3.155
0.811 4.720 4.884
```

---

## LaTbSm2In4 (GGA-PBE)

Data for LaTbSm2In4 after structural relaxation.

Computed properties:
space-group type	R-3m, No. 166
formation energy	-375	kJ/mol of formula units

```
LaTbSm2In4
1.0
5.436 0.000 0.000
2.718 4.708 0.000
2.718 1.569 8.908
La In Tb Sm
1 4 1 2
Cartesian
0.000 0.000 0.000
5.436 3.139 7.740
5.436 3.139 1.168
2.718 1.569 5.517
8.154 4.708 3.391
5.436 3.139 4.454
8.154 4.708 6.669
2.718 1.569 2.239
```

---

## Hf4BiS (GGA-PBE)

Data for Hf4BiS after structural relaxation.

Computed properties:
space-group type	C2/m, No. 12
uncorrected formation energy	-332	meV per atom

```
Hf4BiS
1.0
-1.281 -2.704 1.754
1.134 -3.685 -4.852
11.350 -2.318 4.719
S Bi Hf
2 2 8
Cartesian
0.000 0.000 0.000
5.601 -4.354 0.810
-0.074 -3.195 -1.549
5.675 -1.159 2.359
3.429 -2.819 1.588
9.103 -3.866 4.120
2.099 -4.841 -2.500
7.848 -2.806 1.409
3.355 -5.901 0.212
0.890 -4.238 0.976
7.773 -5.888 0.032
10.312 -4.470 0.644
```

---

## LiCoIr2Pd (GGA-PBE)

Data for LiCoIr2Pd after structural relaxation.

Computed properties:
space-group type	P4/mmm, No. 123
formation energy	484	kJ/mol of formula units

```
LiCoIr2Pd
1.0
-2.477 -0.649 -3.582
3.645 -2.084 -2.143
-1.289 -3.896 1.597
Pd Ir Li Co
1 2 1 1
Cartesian
1.822 -1.042 -1.071
-0.644 -1.948 0.799
-1.239 -0.325 -1.791
-0.060 -3.314 -2.064
0.000 0.000 0.000
```

---

## Y2Pd2Pt (GGA-PBE)

Data for Y2Pd2Pt after structural relaxation.

Computed properties:
space-group type	I4/mmm, No. 139
polymorph energy (0 for the lowest one)	231	meV/atom
formation energy	-328	kJ/mol of formula units

```
Y2Pd2Pt
1.0
5.328 0.000 0.000
0.000 5.328 0.000
2.664 2.664 3.984
Pd Y Pt
2 2 1
Cartesian
5.328 5.328 2.726
2.664 2.664 1.258
2.664 5.328 1.992
5.328 2.664 1.992
0.000 0.000 0.000
```

---

## Mn2CdIn (GGA-PBE)

Data for Mn2CdIn after structural relaxation.

Computed properties:
space-group type	C2/m, No. 12
formation energy	135	kJ/mol of formula units

```
Mn2CdIn
1.0
-2.940 3.782 1.228
-4.041 1.233 2.570
2.111 1.483 4.549
In Mn Cd
1 2 1
Cartesian
-1.218 1.624 2.087
-2.444 3.251 4.170
-6.973 5.012 3.801
-3.653 4.873 6.261
```